This record from Alexandria via LeMat-Bulk describes an optimized crystal structure of Tm2BiN. The functional is PBE.

Output
- Theoretical density: 10.27 g/cm3
- Offset from the most stable computed form: 0.00 kcal/mol of atoms
- E_tot: -6.5640 eV per atom
- Symmetry: Pmmn (59)
- Formation energy without anion corrections: -5.11 eV per formula unit

```
data_Tm2BiN
_chemical_formula_sum 'Tm4 Bi2 N2'
_symmetry_space_group_name_H-M 'P 1'
_symmetry_Int_Tables_number 1
_symmetry_space_group_name_Hall 'P 1'
_cell_length_a 4.4834
_cell_length_b 4.5088
_cell_length_c 8.9713
_cell_angle_alpha 90.00
_cell_angle_beta 90.00
_cell_angle_gamma 90.00
loop_
_atom_site_label
_atom_site_type_symbol
_atom_site_fract_x
_atom_site_fract_y
_atom_site_fract_z
Tm1 Tm 0.2500 0.2500 0.0019
Tm2 Tm 0.2500 0.7500 0.3157
Tm3 Tm 0.7500 0.2500 0.6843
Tm4 Tm 0.7500 0.7500 0.9981
Bi1 Bi 0.2500 0.7500 0.6834
Bi2 Bi 0.7500 0.2500 0.3166
N1 N 0.2500 0.7500 0.0732
N2 N 0.7500 0.2500 0.9268
```